1.
# RbTiNb2Ir, optimized geometry, DFT PBE-GGA
data_RbTiNb2Ir
_space_group_name_H-M_alt 'P 1'
_space_group_IT_number 1
_cell_length_a 5.048
_cell_length_b 5.048
_cell_length_c 4.976
_cell_angle_alpha 90.00
_cell_angle_beta 90.00
_cell_angle_gamma 90.00
loop_
_space_group_symop_operation_xyz
'x,y,z'
loop_
_atom_site_label
_atom_site_type_symbol
_atom_site_fract_x
_atom_site_fract_y
_atom_site_fract_z
Rb1 Rb 0.000 0.000 0.000
Ti1 Ti 0.500 0.500 0.000
Nb1 Nb 0.000 0.500 0.500
Nb2 Nb 0.500 0.000 0.500
Ir1 Ir 0.500 0.500 0.500
# DFT total energy in eV/cell: -33.008
# Space group: P4/mmm (123)
# Energy relative to the elements in eV/atom: 0.971
# Fermi-level density of states in states/eV/f.u.: 6.37
# Polymorph energy (0 for the lowest one) in eV/atom: 0.000



2.
# KHg2SbTe, optimized geometry, DFT PBE-GGA
data_KHg2SbTe
_space_group_name_H-M_alt 'P 1'
_space_group_IT_number 1
_cell_length_a 5.747
_cell_length_b 5.747
_cell_length_c 6.182
_cell_angle_alpha 90.00
_cell_angle_beta 90.00
_cell_angle_gamma 90.00
loop_
_space_group_symop_operation_xyz
'x,y,z'
loop_
_atom_site_label
_atom_site_type_symbol
_atom_site_fract_x
_atom_site_fract_y
_atom_site_fract_z
K1 K 0.000 0.000 0.000
Hg1 Hg 0.000 0.500 0.500
Hg2 Hg 0.500 0.000 0.500
Sb1 Sb 0.500 0.500 0.500
Te1 Te 0.500 0.500 0.000
# Formation energy without anion corrections in eV/atom: -0.191
# DFT total energy in eV/cell: -9.918
# Space group: P4/mmm (123)
# Fermi-level density of states in states/eV/f.u.: 3.59